(1)
A plane-wave DFT calculation with GGA-PBE was carried out for crystalline CsHoTe3Au at its relaxed geometry.

Properties
The value obtained for the electronic total energy is -3.953 eV/atom. As for the crystal system: orthorhombic. Its total magnetization is 0.0 μB/cell.

a = 9.102 Å, b = 9.102 Å, c = 11.326 Å
α = 90.00°, β = 90.00°, γ = 152.93°
Fractional positions:
Cs1 0.247 0.753 0.750
Cs2 0.753 0.247 0.250
Ho1 0.000 0.000 0.000
Ho2 0.000 0.000 0.500
Te1 0.068 0.932 0.250
Te2 0.378 0.622 0.047
Te3 0.378 0.622 0.453
Te4 0.622 0.378 0.547
Te5 0.622 0.378 0.953
Te6 0.932 0.068 0.750
Au1 0.463 0.537 0.250
Au2 0.537 0.463 0.750

(2)
A plane-wave DFT calculation with GGA-PBE was carried out for crystalline CsAu2I2 at its relaxed geometry.

Properties
The value obtained for the electronic total energy is -2.083 eV/atom. As for the crystal system: tetragonal.

a = 12.885 Å, b = 12.885 Å, c = 12.885 Å
α = 153.28°, β = 153.28°, γ = 38.15°
Fractional positions:
Cs1 0.375 0.625 0.750
Cs2 0.625 0.375 0.250
Au1 0.243 0.493 0.750
Au2 0.493 0.243 0.250
Au3 0.507 0.757 0.750
Au4 0.757 0.507 0.250
I1 0.000 0.000 0.000
I2 0.000 0.000 0.500
I3 0.000 0.500 0.000
I4 0.500 0.000 0.500

(3)
A plane-wave DFT calculation with GGA-PBE was carried out for crystalline CsAuI4O12 at its relaxed geometry.

Properties
The polymorph energy (0 for the lowest one) comes out at 0.24 kcal/mol of atoms. As for the crystal system: monoclinic.

a = 7.343 Å, b = 7.343 Å, c = 8.344 Å
α = 107.37°, β = 107.37°, γ = 44.02°
Fractional positions:
Cs1 0.000 0.000 0.000
Au1 0.153 0.847 0.500
I1 0.246 0.399 0.169
I2 0.315 0.371 0.650
I3 0.601 0.754 0.831
I4 0.629 0.685 0.350
O1 0.030 0.722 0.584
O2 0.035 0.373 0.208
O3 0.035 0.763 0.265
O4 0.095 0.494 0.955
O5 0.237 0.965 0.735
O6 0.278 0.970 0.416
O7 0.488 0.215 0.464
O8 0.506 0.434 0.797
O9 0.506 0.905 0.045
O10 0.566 0.494 0.203
O11 0.627 0.965 0.792
O12 0.785 0.512 0.536

(4)
A plane-wave DFT calculation with GGA-PBE was carried out for crystalline CsAuI4O12 at its relaxed geometry.

Properties
The polymorph energy (0 for the lowest one) comes out at 0.00 kcal/mol of atoms. As for the crystal system: triclinic.

a = 7.597 Å, b = 7.800 Å, c = 10.724 Å
α = 76.17°, β = 72.82°, γ = 85.51°
Fractional positions:
Cs1 0.056 0.173 0.144
Cs2 0.944 0.827 0.856
Au1 0.423 0.950 0.791
Au2 0.577 0.050 0.209
I1 0.231 0.788 0.466
I2 0.242 0.355 0.753
I3 0.285 0.285 0.422
I4 0.333 0.650 0.106
I5 0.667 0.350 0.894
I6 0.715 0.715 0.578
I7 0.758 0.645 0.247
I8 0.769 0.212 0.534
O1 0.039 0.424 0.867
O2 0.053 0.313 0.399
O3 0.128 0.326 0.628
O4 0.182 0.987 0.533
O5 0.210 0.111 0.851
O6 0.288 0.848 0.171
O7 0.294 0.747 0.935
O8 0.311 0.654 0.603
O9 0.342 0.522 0.346
O10 0.364 0.217 0.251
O11 0.415 0.359 0.942
O12 0.493 0.850 0.373
O13 0.507 0.150 0.627
O14 0.585 0.641 0.058
O15 0.636 0.783 0.749
O16 0.658 0.478 0.654
O17 0.689 0.346 0.397
O18 0.706 0.253 0.065
O19 0.712 0.152 0.829
O20 0.790 0.889 0.149
O21 0.818 0.013 0.467
O22 0.872 0.674 0.372
O23 0.947 0.687 0.601
O24 0.961 0.576 0.133

(5)
A plane-wave DFT calculation with GGA-PBE was carried out for crystalline Cs2ScAuI6 at its relaxed geometry.

Properties
The value obtained for the electronic total energy is -3.124 eV/atom. As for the crystal system: cubic. Its total magnetization is 0.0 μB/cell.

a = 8.382 Å, b = 8.382 Å, c = 8.382 Å
α = 60.00°, β = 60.00°, γ = 60.00°
Fractional positions:
Cs1 0.250 0.250 0.250
Cs2 0.750 0.750 0.750
Sc1 0.000 0.000 0.000
Au1 0.500 0.500 0.500
I1 0.246 0.246 0.754
I2 0.246 0.754 0.246
I3 0.246 0.754 0.754
I4 0.754 0.246 0.246
I5 0.754 0.246 0.754
I6 0.754 0.754 0.246

(6)
A plane-wave DFT calculation with GGA-PBE was carried out for crystalline Cs2ZrAuI6 at its relaxed geometry.

Properties
The value obtained for the electronic total energy is -3.192 eV/atom. As for the crystal system: cubic. Its total magnetization is 0.0 μB/cell.

a = 8.520 Å, b = 8.520 Å, c = 8.520 Å
α = 60.00°, β = 60.00°, γ = 60.00°
Fractional positions:
Cs1 0.250 0.250 0.250
Cs2 0.750 0.750 0.750
Zr1 0.000 0.000 0.000
Au1 0.500 0.500 0.500
I1 0.242 0.242 0.758
I2 0.242 0.758 0.242
I3 0.242 0.758 0.758
I4 0.758 0.242 0.242
I5 0.758 0.242 0.758
I6 0.758 0.758 0.242

(7)
A plane-wave DFT calculation with GGA-PBE was carried out for crystalline CsInAu at its relaxed geometry.

Properties
The polymorph energy (0 for the lowest one) comes out at 0.00 kcal/mol of atoms. As for the crystal system: cubic.

a = 5.584 Å, b = 5.584 Å, c = 5.584 Å
α = 60.00°, β = 60.00°, γ = 60.00°
Fractional positions:
Cs1 0.000 0.000 0.000
In1 0.750 0.750 0.750
Au1 0.500 0.500 0.500

(8)
A plane-wave DFT calculation with GGA-PBE was carried out for crystalline CsInAu at its relaxed geometry.

Properties
The polymorph energy (0 for the lowest one) comes out at 4.89 kcal/mol of atoms. As for the crystal system: cubic.

a = 5.813 Å, b = 5.813 Å, c = 5.813 Å
α = 60.00°, β = 60.00°, γ = 60.00°
Fractional positions:
Cs1 0.000 0.000 0.000
In1 0.250 0.250 0.250
Au1 0.750 0.750 0.750

(9)
A plane-wave DFT calculation with GGA-PBE was carried out for crystalline Cs4In2Au7 at its relaxed geometry.

Properties
The value obtained for the electronic total energy is -2.790 eV/atom. As for the crystal system: trigonal.

a = 10.846 Å, b = 10.846 Å, c = 10.846 Å
α = 37.74°, β = 37.74°, γ = 37.74°
Fractional positions:
Cs1 0.185 0.185 0.185
Cs2 0.313 0.313 0.313
Cs3 0.687 0.687 0.687
Cs4 0.815 0.815 0.815
In1 0.049 0.049 0.049
In2 0.951 0.951 0.951
Au1 0.288 0.288 0.695
Au2 0.288 0.695 0.288
Au3 0.305 0.712 0.712
Au4 0.500 0.500 0.500
Au5 0.695 0.288 0.288
Au6 0.712 0.305 0.712
Au7 0.712 0.712 0.305

(10)
A plane-wave DFT calculation with GGA-PBE was carried out for crystalline CsKIn4Au2 at its relaxed geometry.

Properties
The value obtained for the electronic total energy is -2.668 eV/atom. As for the crystal system: orthorhombic.

a = 8.307 Å, b = 6.925 Å, c = 6.925 Å
α = 39.95°, β = 90.00°, γ = 90.00°
Fractional positions:
Cs1 0.000 0.000 0.000
K1 0.500 0.084 0.084
In1 0.196 0.713 0.713
In2 0.313 0.367 0.367
In3 0.687 0.367 0.367
In4 0.804 0.713 0.713
Au1 0.000 0.271 0.271
Au2 0.500 0.814 0.814

(11)
A plane-wave DFT calculation with GGA-PBE was carried out for crystalline CsRbInAu3 at its relaxed geometry.

Properties
The value obtained for the electronic total energy is -2.710 eV/atom. As for the crystal system: orthorhombic.

a = 5.767 Å, b = 6.905 Å, c = 9.236 Å
α = 90.00°, β = 90.00°, γ = 90.00°
Fractional positions:
Cs1 0.250 0.000 0.128
Cs2 0.750 0.000 0.872
Rb1 0.250 0.500 0.367
Rb2 0.750 0.500 0.633
In1 0.250 0.500 0.920
In2 0.750 0.500 0.080
Au1 0.000 0.000 0.500
Au2 0.250 0.214 0.714
Au3 0.250 0.786 0.714
Au4 0.500 0.000 0.500
Au5 0.750 0.214 0.286
Au6 0.750 0.786 0.286

(12)
A plane-wave DFT calculation with GGA-PBE was carried out for crystalline CsRbIn4Au2 at its relaxed geometry.

Properties
The value obtained for the electronic total energy is -2.622 eV/atom. As for the crystal system: orthorhombic.

a = 8.244 Å, b = 6.578 Å, c = 6.578 Å
α = 42.90°, β = 90.00°, γ = 90.00°
Fractional positions:
Cs1 0.000 0.000 0.000
Rb1 0.500 0.094 0.094
In1 0.195 0.712 0.712
In2 0.312 0.380 0.380
In3 0.688 0.380 0.380
In4 0.805 0.712 0.712
Au1 0.000 0.275 0.275
Au2 0.500 0.819 0.819